Here is RhI2Br at its PBEsol-relaxed geometry from the Alexandria database. Energies are from meta-GGA SCAN.

```
16
Lattice="7.155 0.000 0.000 0.000 7.155 0.000 0.000 0.000 7.155" Properties=species:S:1:pos:R:3 pbc="T T T"
Rh 0.000 0.000 0.000
Rh 0.000 3.578 3.578
Rh 3.578 0.000 3.578
Rh 3.578 3.578 0.000
I 1.789 1.789 1.789
I 1.789 1.789 5.367
I 1.789 5.367 1.789
I 1.789 5.367 5.367
I 5.367 1.789 1.789
I 5.367 1.789 5.367
I 5.367 5.367 1.789
I 5.367 5.367 5.367
Br 0.000 0.000 3.578
Br 0.000 3.578 0.000
Br 3.578 0.000 0.000
Br 3.578 3.578 3.578
```

D(E_F) = 3.482 states/eV/f.u.
Space group = Fm-3m
Uncorrected formation energy = 0.772 eV per atom
Total energy = -30.91 eV per atom